# PBE NdSmEr2In4, relaxed
# - crystal system = trigonal
# - formation energy from the elements (meV/atom) = -465
data_NdSmEr2In4
_cell_length_a 5.3615
_cell_length_b 5.3615
_cell_length_c 26.3282
_cell_angle_alpha 90.00
_cell_angle_beta 90.00
_cell_angle_gamma 120.00
_space_group_name_H-M_alt 'R -3 m'
_space_group_IT_number 166
_space_group_name_Hall '-R 3 2"'
loop_
_atom_site_label
_atom_site_type_symbol
_atom_site_fract_x
_atom_site_fract_y
_atom_site_fract_z
Nd1 Nd 0.0000 0.0000 0.0000
Sm1 Sm 0.0000 0.0000 0.5000
Er1 Er 0.0000 0.0000 0.2500
In1 In 0.0000 0.0000 0.1256
In2 In 0.0000 0.0000 0.3756